# 1
A relaxed structure of Li4AgAu3. Source: the Alexandria database, functional PBE-GGA.

Lattice parameters (Å, degrees): 7.711 7.711 7.711 33.34 33.34 33.34
Atoms (fractional coordinates):
Li 0.124 0.124 0.124
Li 0.373 0.373 0.373
Li 0.627 0.627 0.627
Li 0.876 0.876 0.876
Ag 0.500 0.500 0.500
Au 0.000 0.000 0.000
Au 0.248 0.248 0.248
Au 0.752 0.752 0.752

Size of the total moment, Bohr magnetons per cell: 0.00
Space-group type: No. 166
ΔE to the lowest computed polymorph, eV per atom: 0.000
ΔE_f, eV/atom: -0.47

# 2
A relaxed structure of KW2Se. Source: the Alexandria database, functional PBE-GGA.

Lattice parameters (Å, degrees): 3.360 3.188 8.783 90.00 100.99 90.00
Atoms (fractional coordinates):
K 0.000 0.000 0.000
W 0.249 0.000 0.496
W 0.676 0.500 0.351
Se 0.368 0.500 0.733

Formation energy without anion corrections, kJ/mol of atoms: 40.6
Size of the total moment, Bohr magnetons per cell: 0.00
Space-group type: No. 6

# 3
A relaxed structure of MgZn3. Source: the Alexandria database, functional PBE-GGA.

Lattice parameters (Å, degrees): 5.590 8.015 2.994 90.00 90.00 90.00
Atoms (fractional coordinates):
Mg 0.000 0.000 0.000
Mg 0.500 0.500 0.000
Zn 0.000 0.500 0.000
Zn 0.250 0.250 0.500
Zn 0.250 0.750 0.500
Zn 0.500 0.000 0.000
Zn 0.750 0.250 0.500
Zn 0.750 0.750 0.500

Size of the total moment, Bohr magnetons per cell: 0.00
Space-group type: No. 65
ΔE_f, eV/atom: 0.00

# 4
A relaxed structure of ScAsH2. Source: the Alexandria database, functional PBE-GGA.

Lattice parameters (Å, degrees): 3.855 3.855 12.827 90.00 90.00 90.00
Atoms (fractional coordinates):
Sc 0.000 0.000 0.000
Sc 0.000 0.500 0.250
Sc 0.500 0.000 0.750
Sc 0.500 0.500 0.500
As 0.000 0.000 0.500
As 0.000 0.500 0.750
As 0.500 0.000 0.250
As 0.500 0.500 0.000
H 0.217 0.250 0.125
H 0.250 0.717 0.375
H 0.250 0.783 0.875
H 0.283 0.250 0.625
H 0.717 0.750 0.625
H 0.750 0.217 0.875
H 0.750 0.283 0.375
H 0.783 0.750 0.125

Size of the total moment, Bohr magnetons per cell: 0.00
Space-group type: No. 122
ΔE to the lowest computed polymorph, eV per atom: 0.000

# 5
A relaxed structure of Sr2MoH. Source: the Alexandria database, functional PBE-GGA.

Lattice parameters (Å, degrees): 7.432 7.432 7.991 90.00 90.00 90.00
Atoms (fractional coordinates):
Sr 0.154 0.250 0.125
Sr 0.250 0.654 0.375
Sr 0.250 0.846 0.875
Sr 0.346 0.250 0.625
Sr 0.654 0.750 0.625
Sr 0.750 0.154 0.875
Sr 0.750 0.346 0.375
Sr 0.846 0.750 0.125
Mo 0.000 0.000 0.500
Mo 0.000 0.500 0.750
Mo 0.500 0.000 0.250
Mo 0.500 0.500 0.000
H 0.000 0.000 0.000
H 0.000 0.500 0.250
H 0.500 0.000 0.750
H 0.500 0.500 0.500

Size of the total moment, Bohr magnetons per cell: 13.63
Space-group type: No. 122
ΔE to the lowest computed polymorph, eV per atom: 0.000

# 6
A relaxed structure of Pr2PdAu. Source: the Alexandria database, functional PBE-GGA.

Lattice parameters (Å, degrees): 5.906 4.768 7.906 90.00 109.65 90.00
Atoms (fractional coordinates):
Pr 0.222 0.250 0.434
Pr 0.230 0.250 0.930
Pr 0.770 0.750 0.070
Pr 0.778 0.750 0.566
Pd 0.333 0.750 0.708
Pd 0.667 0.250 0.292
Au 0.330 0.750 0.209
Au 0.670 0.250 0.791

Size of the total moment, Bohr magnetons per cell: 0.00
Space-group type: No. 11
ΔE_f, eV/atom: -0.78

# 7
A relaxed structure of Sm2TmO4. Source: the Alexandria database, functional PBE-GGA.

Lattice parameters (Å, degrees): 11.720 3.478 6.035 90.00 117.89 90.00
Atoms (fractional coordinates):
Sm 0.194 0.000 0.196
Sm 0.306 0.500 0.804
Sm 0.694 0.500 0.196
Sm 0.806 0.000 0.804
Tm 0.000 0.500 0.500
Tm 0.500 0.000 0.500
O 0.126 0.500 0.913
O 0.139 0.000 0.521
O 0.361 0.500 0.479
O 0.374 0.000 0.087
O 0.626 0.000 0.913
O 0.639 0.500 0.521
O 0.861 0.000 0.479
O 0.874 0.500 0.087

Formation energy without anion corrections, kJ/mol of atoms: -304.4
Size of the total moment, Bohr magnetons per cell: 0.00
Space-group type: No. 12

# 8
A relaxed structure of K2IrRuO6. Source: the Alexandria database, functional PBE-GGA.

Lattice parameters (Å, degrees): 5.578 5.578 3.953 90.00 90.00 90.00
Atoms (fractional coordinates):
K 0.000 0.500 0.000
K 0.500 0.000 0.000
Ir 0.000 0.000 0.500
Ru 0.500 0.500 0.500
O 0.000 0.000 0.000
O 0.250 0.250 0.500
O 0.250 0.750 0.500
O 0.500 0.500 0.000
O 0.750 0.250 0.500
O 0.750 0.750 0.500

Formation energy without anion corrections, kJ/mol of atoms: -96.1
Size of the total moment, Bohr magnetons per cell: 1.06
Space-group type: No. 123

# 9
A relaxed structure of HgSeI2O. Source: the Alexandria database, functional PBE-GGA.

Lattice parameters (Å, degrees): 5.979 5.979 4.043 90.00 90.00 90.00
Atoms (fractional coordinates):
Hg 0.000 0.000 0.000
Se 0.500 0.500 0.500
I 0.000 0.500 0.000
I 0.500 0.000 0.000
O 0.000 0.000 0.500

Formation energy without anion corrections, kJ/mol of atoms: 54.3
Size of the total moment, Bohr magnetons per cell: 0.00
Space-group type: No. 123
ΔE to the lowest computed polymorph, eV per atom: 0.519

# 10
A relaxed structure of K4U3TcN8. Source: the Alexandria database, functional PBE-GGA.

Lattice parameters (Å, degrees): 7.503 7.503 7.503 54.27 54.27 54.27
Atoms (fractional coordinates):
K 0.000 0.000 0.000
K 0.000 0.500 0.500
K 0.500 0.000 0.500
K 0.500 0.500 0.000
U 0.000 0.000 0.500
U 0.000 0.500 0.000
U 0.500 0.000 0.000
Tc 0.500 0.500 0.500
N 0.214 0.724 0.724
N 0.222 0.222 0.222
N 0.276 0.276 0.786
N 0.276 0.786 0.276
N 0.724 0.214 0.724
N 0.724 0.724 0.214
N 0.778 0.778 0.778
N 0.786 0.276 0.276

Formation energy without anion corrections, kJ/mol of atoms: -71.6
Size of the total moment, Bohr magnetons per cell: 0.93
Space-group type: No. 166

# 11
A relaxed structure of CaSm3Ag3. Source: the Alexandria database, functional PBE-GGA.

Lattice parameters (Å, degrees): 7.452 7.452 7.128 90.94 90.94 94.25
Atoms (fractional coordinates):
Ca 0.239 0.239 0.362
Ca 0.761 0.761 0.638
Sm 0.134 0.134 0.860
Sm 0.241 0.759 0.500
Sm 0.316 0.684 0.000
Sm 0.684 0.316 0.000
Sm 0.759 0.241 0.500
Sm 0.866 0.866 0.140
Ag 0.016 0.499 0.768
Ag 0.430 0.430 0.686
Ag 0.499 0.016 0.768
Ag 0.501 0.984 0.232
Ag 0.570 0.570 0.314
Ag 0.984 0.501 0.232

Size of the total moment, Bohr magnetons per cell: 0.00
Space-group type: No. 12
ΔE_f, eV/atom: -0.13

# 12
A relaxed structure of TiZnBi2O6. Source: the Alexandria database, functional PBE-GGA.

Lattice parameters (Å, degrees): 3.915 3.915 8.060 90.00 90.00 90.00
Atoms (fractional coordinates):
Ti 0.000 0.000 0.000
Zn 0.000 0.000 0.500
Bi 0.500 0.500 0.278
Bi 0.500 0.500 0.722
O 0.000 0.000 0.242
O 0.000 0.000 0.758
O 0.000 0.500 0.000
O 0.000 0.500 0.500
O 0.500 0.000 0.000
O 0.500 0.000 0.500

Formation energy without anion corrections, kJ/mol of atoms: -149.4
Size of the total moment, Bohr magnetons per cell: 0.00
Space-group type: No. 123
ΔE to the lowest computed polymorph, eV per atom: 0.243